No. 1
Density functional theory data (PBE) for a relaxed structure of KRb5Ag.

## Properties
Energy of formation, eV per atom: 0.048
Calculated volume, Å³/cell: 1071.13

Cell lengths 9.1921, 9.1921, 12.8984 Å; angles 96.77, 96.77, 93.82 degrees
Fractional positions:
K: 0.5587 0.4413 0.7500
K: 0.4413 0.5587 0.2500
Rb: 0.3479 0.1864 0.9884
Rb: 0.3510 0.8927 0.6225
Rb: 0.1864 0.3479 0.4884
Rb: 0.8898 0.1102 0.7500
Rb: 0.1073 0.6490 0.8775
Rb: 0.8927 0.3510 0.1225
Rb: 0.1102 0.8898 0.2500
Rb: 0.8136 0.6521 0.5116
Rb: 0.6490 0.1073 0.3775
Rb: 0.6521 0.8136 0.0116
Ag: 0.0000 0.0000 0.0000
Ag: 0.0000 0.0000 0.5000

=====

No. 2
Density functional theory data (PBE) for a relaxed structure of K3Rb6Ag.

## Properties
Energy of formation, eV per atom: 0.038
Calculated volume, Å³/cell: 1493.27

Cell lengths 4.8565, 16.0513, 20.9162 Å; angles 113.67, 90.00, 90.00 degrees
Fractional positions:
K: 0.7500 0.3390 0.8274
K: 0.2500 0.6610 0.1726
K: 0.7500 0.6292 0.5106
K: 0.2500 0.3708 0.4894
K: 0.7500 0.1275 0.0637
K: 0.2500 0.8725 0.9363
Rb: 0.7500 0.5468 0.7142
Rb: 0.2500 0.4532 0.2858
Rb: 0.7500 0.8791 0.1481
Rb: 0.2500 0.1209 0.8519
Rb: 0.7500 0.3979 0.0563
Rb: 0.2500 0.6021 0.9437
Rb: 0.7500 0.7769 0.3601
Rb: 0.2500 0.2231 0.6399
Rb: 0.7500 0.0643 0.4176
Rb: 0.2500 0.9357 0.5824
Rb: 0.7500 0.8540 0.7370
Rb: 0.2500 0.1460 0.2630
Ag: 0.7500 0.0969 0.7108
Ag: 0.2500 0.9031 0.2892